# 1
Here is a relaxed structure of Ba2LiZnCl6 from Alexandria. Energies are from PBE-GGA.

a = 7.114 Å, b = 7.112 Å, c = 7.113 Å
α = 60.00°, β = 60.00°, γ = 89.99°
Sites, in units of the cell vectors:
Ba 0.750 0.250 0.500
Ba 0.250 0.750 0.500
Li 0.000 0.000 0.000
Zn 0.500 0.500 0.000
Cl 0.243 0.243 0.513
Cl 0.757 0.756 0.000
Cl 0.244 0.757 0.000
Cl 0.756 0.243 0.000
Cl 0.243 0.244 0.000
Cl 0.757 0.757 0.487

Output
- Final energy: -3.57 eV/atom
- V: 254.50 Å³ per cell
- Fermi-level density of states: 3.75 states/eV/f.u.

=====

# 2
Here is a relaxed structure of BeAl2Pt2 from Alexandria. Energies are from PBE-GGA.

a = 7.336 Å, b = 7.336 Å, c = 2.784 Å
α = 90.00°, β = 90.00°, γ = 90.00°
Sites, in units of the cell vectors:
Be 0.000 0.000 0.000
Be 0.500 0.500 0.000
Al 0.362 0.862 0.000
Al 0.862 0.638 0.000
Al 0.638 0.138 0.000
Al 0.138 0.362 0.000
Pt 0.160 0.660 0.500
Pt 0.660 0.840 0.500
Pt 0.840 0.340 0.500
Pt 0.340 0.160 0.500

Output
- Final energy: -5.16 eV/atom
- V: 149.81 Å³ per cell
- Fermi-level density of states: 1.05 states/eV/f.u.
- DFT formation energy: -499 meV/atom

=====

# 3
Here is a relaxed structure of HfAg2Pt from Alexandria. Energies are from PBE-GGA.

a = 7.681 Å, b = 7.681 Å, c = 6.056 Å
α = 50.65°, β = 50.65°, γ = 90.00°
Sites, in units of the cell vectors:
Hf 0.500 0.500 0.000
Hf 0.250 0.750 0.500
Ag 0.638 0.125 0.250
Ag 0.112 0.625 0.250
Ag 0.375 0.362 0.750
Ag 0.875 0.888 0.750
Pt 0.000 0.000 0.000
Pt 0.750 0.250 0.500

Output
- Final energy: -5.26 eV/atom
- V: 158.10 Å³ per cell
- Fermi-level density of states: 2.71 states/eV/f.u.
- DFT formation energy: 166 meV/atom

=====

# 4
Here is a relaxed structure of RbErMgSe3 from Alexandria. Energies are from PBE-GGA.

a = 4.248 Å, b = 9.312 Å, c = 10.258 Å
α = 109.47°, β = 90.00°, γ = 90.00°
Sites, in units of the cell vectors:
Rb 0.250 0.213 0.233
Rb 0.750 0.787 0.767
Er 0.250 0.667 0.132
Er 0.750 0.333 0.868
Mg 0.250 0.086 0.612
Mg 0.750 0.914 0.388
Se 0.750 0.879 0.133
Se 0.250 0.121 0.867
Se 0.250 0.795 0.454
Se 0.750 0.205 0.546
Se 0.750 0.471 0.154
Se 0.250 0.529 0.846

Output
- Final energy: -4.48 eV/atom
- V: 382.60 Å³ per cell
- Fermi-level density of states: 0.00 states/eV/f.u.

=====

# 5
Here is a relaxed structure of K6TlHgO from Alexandria. Energies are from PBE-GGA.

a = 8.326 Å, b = 8.325 Å, c = 7.240 Å
α = 90.00°, β = 90.00°, γ = 60.00°
Sites, in units of the cell vectors:
K 0.076 0.325 0.286
K 0.325 0.076 0.714
K 0.599 0.325 0.714
K 0.076 0.599 0.714
K 0.325 0.599 0.286
K 0.599 0.076 0.286
Tl 0.000 0.000 0.000
Hg 0.667 0.667 0.500
O 0.333 0.333 0.500

Output
- Final energy: -1.92 eV/atom
- V: 434.62 Å³ per cell
- Fermi-level density of states: 6.15 states/eV/f.u.

=====

# 6
Here is a relaxed structure of Cs4Mo2Pd from Alexandria. Energies are from PBE-GGA.

a = 7.228 Å, b = 7.228 Å, c = 9.903 Å
α = 68.60°, β = 68.60°, γ = 90.00°
Sites, in units of the cell vectors:
Cs 0.810 0.810 0.379
Cs 0.190 0.190 0.621
Cs 0.000 0.500 0.000
Cs 0.500 0.000 0.000
Mo 0.559 0.559 0.882
Mo 0.441 0.441 0.118
Pd 0.000 0.000 0.000

Output
- Final energy: -3.27 eV/atom
- V: 443.10 Å³ per cell
- Fermi-level density of states: 2.01 states/eV/f.u.
- DFT formation energy: 1052 meV/atom